1.
TiZn2RuPt | PBE | relaxed

Cell lengths 4.744, 4.303, 4.744 Å; angles 90.00, 90.00, 90.00 degrees
Element x y z (fractional)
Ru (0.000, 0.500, 0.000)
Zn (0.000, 0.000, 0.500)
Ti (0.000, 0.000, 0.000)
Pt (0.500, 0.500, 0.500)
Zn (0.500, 0.000, 0.000)

Computed properties:
Space group: P4/mmm
Size of the total moment, μB/cell: 0.000
Relative energy among the computed polymorphs, meV per atom: 308
ΔE_f, eV/atom: 1.027

2.
TiZn2RuPt | PBE | relaxed

Cell lengths 4.635, 4.635, 4.740 Å; angles 90.00, 90.00, 90.00 degrees
Element x y z (fractional)
Ru (0.500, 0.500, 0.500)
Zn (0.000, 0.500, 0.000)
Pt (0.000, 0.000, 0.000)
Ti (0.000, 0.000, 0.500)
Zn (0.500, 0.000, 0.000)

Computed properties:
Space group: P4/mmm
Size of the total moment, μB/cell: 0.029
Relative energy among the computed polymorphs, meV per atom: 0
ΔE_f, eV/atom: 0.719

3.
ZrTiRuPt | PBE | relaxed

Cell lengths 4.571, 4.571, 4.571 Å; angles 60.00, 60.00, 60.00 degrees
Element x y z (fractional)
Zr (0.750, 0.750, 0.750)
Ti (0.250, 0.250, 0.250)
Pt (0.500, 0.500, 0.500)
Ru (0.000, 0.000, 0.000)

Computed properties:
Space group: F-43m
Size of the total moment, μB/cell: 0.000
ΔE_f, eV/atom: -0.679

4.
TlRuPt4 | PBE | relaxed

Cell lengths 5.338, 5.338, 5.338 Å; angles 60.00, 60.00, 60.00 degrees
Site moments in Bohr magnetons follow the coordinates.
Element x y z (fractional)
Pt (0.375, 0.874, 0.375)  0.17
Tl (0.000, 0.000, 0.000)  0.06
Ru (0.750, 0.750, 0.750)  2.45
Pt (0.375, 0.375, 0.874)  0.17
Pt (0.874, 0.375, 0.375)  0.17
Pt (0.375, 0.375, 0.375)  0.17

Computed properties:
Space group: F-43m
Size of the total moment, μB/cell: 3.298
ΔE_f, eV/atom: 0.352

5.
Tl2RuPt | PBE | relaxed

Cell lengths 3.280, 3.280, 7.970 Å; angles 90.00, 90.00, 90.00 degrees
Element x y z (fractional)
Tl (0.000, 0.000, 0.949)
Tl (0.500, 0.500, 0.294)
Ru (0.500, 0.500, 0.705)
Pt (0.000, 0.000, 0.551)

Computed properties:
Space group: P4mm
Size of the total moment, μB/cell: 0.000
Relative energy among the computed polymorphs, meV per atom: 33
ΔE_f, eV/atom: 0.364

6.
Tl2RuPt | PBE | relaxed

Cell lengths 9.818, 9.818, 9.818 Å; angles 18.33, 18.33, 18.33 degrees
Site moments in Bohr magnetons follow the coordinates.
Element x y z (fractional)
Ru (0.244, 0.244, 0.244)  1.19
Pt (0.507, 0.507, 0.507)  0.29
Tl (0.759, 0.759, 0.759)  0.00
Tl (0.990, 0.990, 0.990)  0.00

Computed properties:
Space group: R3m
Size of the total moment, μB/cell: 1.498
Relative energy among the computed polymorphs, meV per atom: 165
ΔE_f, eV/atom: 0.496

7.
TlRuPt3 | PBE | relaxed

Cell lengths 4.863, 4.863, 4.863 Å; angles 90.00, 90.00, 90.00 degrees
Element x y z (fractional)
Pt (0.500, 0.000, 0.000)
Tl (0.500, 0.500, 0.500)
Ru (0.000, 0.000, 0.000)
Pt (0.000, 0.500, 0.000)
Pt (0.000, 0.000, 0.500)

Computed properties:
Space group: Pm-3m
Size of the total moment, μB/cell: 0.000
Relative energy among the computed polymorphs, meV per atom: 0
ΔE_f, eV/atom: 1.011

8.
TlRu3Pt | PBE | relaxed

Cell lengths 4.836, 4.836, 4.836 Å; angles 90.00, 90.00, 90.00 degrees
Site moments in Bohr magnetons follow the coordinates.
Element x y z (fractional)
Ru (0.000, 0.000, 0.500)  2.18
Ru (0.500, 0.000, 0.000)  1.02
Tl (0.500, 0.500, 0.500)  -0.02
Ru (0.000, 0.500, 0.000)  1.43
Pt (0.000, 0.000, 0.000)  0.49

Computed properties:
Space group: Pm-3m
Size of the total moment, μB/cell: 5.161
Relative energy among the computed polymorphs, meV per atom: 0
ΔE_f, eV/atom: 1.673

9.
Tl2RuPt | PBE | relaxed

Cell lengths 3.119, 4.335, 5.800 Å; angles 90.00, 90.00, 90.00 degrees
Site moments in Bohr magnetons follow the coordinates.
Element x y z (fractional)
Pt (0.000, 0.000, 0.472)  0.01
Ru (0.500, 0.500, 0.789)  0.46
Tl (0.500, 0.500, 0.295)  0.00
Tl (0.000, 0.000, 0.944)  -0.01

Computed properties:
Space group: Pmm2
Size of the total moment, μB/cell: 0.461
Relative energy among the computed polymorphs, meV per atom: 132
ΔE_f, eV/atom: 0.463

10.
Tl2RuPt | PBE | relaxed

Cell lengths 4.527, 4.527, 3.655 Å; angles 90.01, 90.01, 89.98 degrees
Site moments in Bohr magnetons follow the coordinates.
Element x y z (fractional)
Ru (0.000, 0.500, 0.500)  0.05
Tl (0.500, 0.500, 0.000)  0.00
Pt (0.500, 0.000, 0.500)  0.00
Tl (0.000, 0.000, 0.000)  0.00

Computed properties:
Space group: P4/mmm
Size of the total moment, μB/cell: 0.048
Relative energy among the computed polymorphs, meV per atom: 0
ΔE_f, eV/atom: 0.331

11.
Tl2RuPt | PBE | relaxed

Cell lengths 4.269, 4.269, 9.831 Å; angles 77.46, 77.46, 90.00 degrees
Element x y z (fractional)
Pt (0.000, 0.000, 0.000)
Ru (0.500, 0.500, 0.000)
Ru (0.250, 0.750, 0.500)
Pt (0.750, 0.250, 0.500)
Tl (0.131, 0.625, 0.250)
Tl (0.375, 0.381, 0.750)
Tl (0.619, 0.125, 0.250)
Tl (0.875, 0.869, 0.750)

Computed properties:
Space group: I-42d
Size of the total moment, μB/cell: 0.000
Relative energy among the computed polymorphs, meV per atom: 338
ΔE_f, eV/atom: 0.668

12.
Tl2RuPt | PBE | relaxed

Cell lengths 3.409, 3.402, 6.459 Å; angles 90.00, 90.00, 90.00 degrees
Element x y z (fractional)
Ru (0.500, 0.500, 0.750)
Pt (0.500, 0.500, 0.250)
Tl (0.000, 0.000, 0.506)
Tl (0.000, 0.000, 0.994)

Computed properties:
Space group: P4/mmm
Size of the total moment, μB/cell: 0.000
Relative energy among the computed polymorphs, meV per atom: 24
ΔE_f, eV/atom: 0.355